First-principles (PBE) data for a geometry-optimized LiCaScSe3 structure, as listed in the Alexandria database.

Unit cell a=3.9679 b=8.1517 c=8.7356 alpha=104.12 beta=90.00 gamma=90.00
Positions (direct):
Se: 0.7500 0.2343 0.5155
Se: 0.2500 0.5606 0.8389
Se: 0.7500 0.4394 0.1611
Se: 0.2500 0.7657 0.4845
Se: 0.7500 0.8929 0.1273
Se: 0.2500 0.1071 0.8727
Ca: 0.7500 0.8053 0.7600
Ca: 0.2500 0.1947 0.2400
Sc: 0.7500 0.3289 0.8369
Sc: 0.2500 0.6711 0.1631
Li: 0.7500 0.9128 0.4117
Li: 0.2500 0.0872 0.5883

***

First-principles (PBE) data for a geometry-optimized In4IrPd structure, as listed in the Alexandria database.

Unit cell a=7.5405 b=7.5405 c=7.5405 alpha=101.52 beta=101.52 gamma=126.91
Positions (direct):
Ir: 0.7565 0.7565 0.0000
Ir: 0.5065 0.0065 0.5000
In: 0.2197 0.9959 0.2238
In: 0.7721 0.9959 0.7762
In: 0.2537 0.9718 0.7181
In: 0.7218 0.5037 0.2181
In: 0.7459 0.0221 0.2762
In: 0.7459 0.4697 0.7238
In: 0.2537 0.5356 0.2819
In: 0.2856 0.5037 0.7819
Pd: 0.2444 0.2444 0.0000
Pd: 0.9944 0.4944 0.5000

Output
calculated formation energy: -119 meV per atom
polymorph energy (0 for the lowest one): 67 meV per atom

***

First-principles (PBE) data for a geometry-optimized SmDyP2 structure, as listed in the Alexandria database.

Unit cell a=5.7369 b=5.7369 c=7.0287 alpha=114.09 beta=114.09 gamma=90.00
Positions (direct):
Dy: 0.5000 0.5000 0.0000
Dy: 0.2500 0.7500 0.5000
P: 0.4975 0.9975 0.9950
P: 0.0025 0.5025 0.0050
P: 0.2525 0.2525 0.5050
P: 0.7475 0.7475 0.4950
Sm: 0.0000 0.0000 0.0000
Sm: 0.7500 0.2500 0.5000

Output
calculated formation energy: -1590 meV per atom
polymorph energy (0 for the lowest one): 1 meV per atom

***

First-principles (PBE) data for a geometry-optimized SiB2PC structure, as listed in the Alexandria database.

Unit cell a=4.8373 b=2.9321 c=9.3089 alpha=90.00 beta=107.96 gamma=90.00
Positions (direct):
C: 0.4360 0.5000 0.0049
C: 0.4360 0.0000 0.5049
B: 0.7639 0.0000 0.5000
B: 0.7639 0.5000 0.0000
B: 0.3262 0.0000 0.0362
B: 0.3262 0.5000 0.5362
P: 0.9853 0.5000 0.6075
P: 0.9853 0.0000 0.1075
Si: 0.0320 0.5000 0.8596
Si: 0.0320 0.0000 0.3596

Output
polymorph energy (0 for the lowest one): 102 meV per atom

***

| no. | E_tot (eV for the cell shown) |
| --- | --- |
| 1 | -61.3 |
| 2 | -51.4 |
| 3 | -53.0 |
| 4 | -64.7 |